## Al2Tl2Bi (PBE)

Data for Al2Tl2Bi after structural relaxation.

Output
- SG = P4/mbm
- E_form (eV per atom) = 0.189
- spin magnetization (μB per atom) = 0.0000

Lattice parameters (Å, degrees): 7.618 7.618 4.690 90.00 90.00 90.00
Sites, in units of the cell vectors:
Al (0.124, 0.376, 0.000)
Al (0.376, 0.876, 0.000)
Al (0.624, 0.124, 0.000)
Al (0.876, 0.624, 0.000)
Tl (0.177, 0.677, 0.500)
Tl (0.323, 0.177, 0.500)
Tl (0.677, 0.823, 0.500)
Tl (0.823, 0.323, 0.500)
Bi (0.000, 0.000, 0.000)
Bi (0.500, 0.500, 0.000)


## NdEuGe (PBE)

Data for NdEuGe after structural relaxation.

Output
- SG = F-43m
- E_form (eV per atom) = -0.495
- spin magnetization (μB per atom) = 2.6040

Lattice parameters (Å, degrees): 5.132 5.132 5.132 60.00 60.00 60.00
Sites, in units of the cell vectors:
Nd (0.000, 0.000, 0.000)
Eu (0.500, 0.500, 0.500)
Ge (0.750, 0.750, 0.750)


## GaSe2Br (PBE)

Data for GaSe2Br after structural relaxation.

Output
- SG = I-42d
- total energy (eV per atom) = -2.940
- spin magnetization (μB per atom) = 0.0000

Lattice parameters (Å, degrees): 6.879 6.879 6.879 119.53 119.53 90.82
Sites, in units of the cell vectors:
Ga (0.000, 0.000, 0.000)
Ga (0.750, 0.250, 0.500)
Se (0.060, 0.625, 0.935)
Se (0.375, 0.310, 0.435)
Se (0.690, 0.125, 0.065)
Se (0.875, 0.940, 0.565)
Br (0.250, 0.750, 0.500)
Br (0.500, 0.500, 0.000)


## TiNbCoMo (PBE)

Data for TiNbCoMo after structural relaxation.

Output
- SG = F-43m
- E_form (eV per atom) = -0.185
- spin magnetization (μB per atom) = 0.0882

Lattice parameters (Å, degrees): 4.405 4.405 4.405 60.00 60.00 60.00
Sites, in units of the cell vectors:
Ti (0.000, 0.000, 0.000)
Nb (0.500, 0.500, 0.500)
Co (0.250, 0.250, 0.250)
Mo (0.750, 0.750, 0.750)